{"formula": "CdBiAs3", "functional": "PBE", "state": "optimized geometry", "lattice": [[5.146, 0.000, 0.000], [0.000, 5.146, 0.000], [0.000, 0.000, 5.146]], "species": ["Cd", "Bi", "As", "As", "As"], "fractional_positions": [[0.000, 0.000, 0.000], [0.500, 0.500, 0.500], [0.000, 0.000, 0.500], [0.000, 0.500, 0.000], [0.500, 0.000, 0.000]], "delta_e_f_ev_per_atom": 0.7980, "density_g_cm3": 6.65, "magnetic_moment_mub_per_cell": 0.000, "polymorph_energy_ev_per_atom": 0.000, "e_tot_ev_per_cell": -14.8, "crystal_system": "cubic"}